# 1
# PBE NbTe, relaxed
data_NbTe
_cell_length_a 3.540
_cell_length_b 12.951
_cell_length_c 6.352
_cell_angle_alpha 90.00
_cell_angle_beta 90.00
_cell_angle_gamma 90.00
_symmetry_space_group_name_H-M 'P m m n'
_symmetry_Int_Tables_number 59
loop_
_symmetry_equiv_pos_as_xyz
'x,y,z'
'-x,-y,-z'
'-x+1/2,-y+1/2,z'
'x+1/2,y+1/2,-z'
'x+1/2,-y,-z'
'-x+1/2,y,z'
'-x,y+1/2,-z'
'x,-y+1/2,z'
loop_
_atom_site_label
_atom_site_type_symbol
_atom_site_fract_x
_atom_site_fract_y
_atom_site_fract_z
Nb1 Nb 0.250 0.127 0.001
Nb2 Nb 0.250 0.750 0.737
Te1 Te 0.250 0.250 0.631
Te2 Te 0.250 0.535 0.714
# **D(E_F)**: 8.42 states/eV/cell
# **Calculated volume**: 291.2 Å³ per cell
# **DFT total energy**: -0.50047 Ry per atom
# **Raw formation energy**: -39 kJ/mol of formula units



# 2
# PBE NbTe, relaxed
data_NbTe
_cell_length_a 9.9138
_cell_length_b 9.9138
_cell_length_c 3.7140
_cell_angle_alpha 90.00
_cell_angle_beta 90.00
_cell_angle_gamma 120.00
_symmetry_space_group_name_H-M 'P 63/m'
_symmetry_Int_Tables_number 176
_symmetry_space_group_name_Hall '-P 6c'
loop_
_atom_site_label
_atom_site_type_symbol
_atom_site_fract_x
_atom_site_fract_y
_atom_site_fract_z
Nb1 Nb 0.1475 0.5192 0.2500
Te1 Te 0.0261 0.7150 0.2500
# **D(E_F)**: 6.94 states/eV/cell
# **Calculated volume**: 316.1 Å³ per cell
# **DFT total energy**: -0.49071 Ry per atom
# **Raw formation energy**: -14 kJ/mol of formula units



# 3
# PBE NbTe, relaxed
data_NbTe
_cell_length_a 5.922
_cell_length_b 5.922
_cell_length_c 5.620
_cell_angle_alpha 90.00
_cell_angle_beta 90.00
_cell_angle_gamma 90.00
_symmetry_space_group_name_H-M 'P 42/m n m'
_symmetry_Int_Tables_number 136
_symmetry_space_group_name_Hall '-P 4n 2n'
loop_
_atom_site_label
_atom_site_type_symbol
_atom_site_fract_x
_atom_site_fract_y
_atom_site_fract_z
Nb1 Nb 0.157 0.157 0.000
Te1 Te 0.206 0.206 0.500
# **D(E_F)**: 6.92 states/eV/cell
# **Calculated volume**: 197.1 Å³ per cell
# **DFT total energy**: -0.47338 Ry per atom
# **Raw formation energy**: 32 kJ/mol of formula units



# 4
# PBE NbTe, relaxed
data_NbTe
_cell_length_a 5.705
_cell_length_b 5.705
_cell_length_c 5.705
_cell_angle_alpha 90.00
_cell_angle_beta 90.00
_cell_angle_gamma 90.00
_symmetry_space_group_name_H-M 'F m -3 m'
_symmetry_Int_Tables_number 225
_symmetry_space_group_name_Hall '-F 4 2 3'
loop_
_atom_site_label
_atom_site_type_symbol
_atom_site_fract_x
_atom_site_fract_y
_atom_site_fract_z
Nb1 Nb 0.000 0.000 0.000
Te1 Te 0.000 0.000 0.500
# **D(E_F)**: 12.10 states/eV/cell
# **Calculated volume**: 185.7 Å³ per cell
# **DFT total energy**: -0.45804 Ry per atom
# **Raw formation energy**: 72 kJ/mol of formula units



# 5
# PBE NbTe, relaxed
data_NbTe
_cell_length_a 6.366
_cell_length_b 6.366
_cell_length_c 6.366
_cell_angle_alpha 90.00
_cell_angle_beta 90.00
_cell_angle_gamma 90.00
_symmetry_space_group_name_H-M 'F -4 3 m'
_symmetry_Int_Tables_number 216
_symmetry_space_group_name_Hall 'F -4 2 3'
loop_
_atom_site_label
_atom_site_type_symbol
_atom_site_fract_x
_atom_site_fract_y
_atom_site_fract_z
Nb1 Nb 0.000 0.000 0.000
Te1 Te 0.250 0.250 0.750
# **D(E_F)**: 6.55 states/eV/cell
# **Calculated volume**: 258.0 Å³ per cell
# **DFT total energy**: -0.44838 Ry per atom
# **Raw formation energy**: 97 kJ/mol of formula units



# 6
# PBE Nb2Te3, relaxed
data_Nb2Te3
_cell_length_a 15.223
_cell_length_b 3.700
_cell_length_c 10.632
_cell_angle_alpha 90.00
_cell_angle_beta 123.28
_cell_angle_gamma 90.00
_symmetry_space_group_name_H-M 'C 1 2/m 1'
_symmetry_Int_Tables_number 12
_symmetry_space_group_name_Hall '-C 2y'
loop_
_atom_site_label
_atom_site_type_symbol
_atom_site_fract_x
_atom_site_fract_y
_atom_site_fract_z
Nb1 Nb 0.167 0.000 0.382
Nb2 Nb 0.244 0.500 0.873
Te1 Te 0.089 0.000 0.824
Te2 Te 0.123 0.500 0.150
Te3 Te 0.128 0.500 0.543
# **D(E_F)**: 11.29 states/eV/cell
# **Calculated volume**: 500.7 Å³ per cell
# **DFT total energy**: -0.46679 Ry per atom
# **Raw formation energy**: -211 kJ/mol of formula units



# 7
# PBE NbTe, relaxed
data_NbTe
_cell_length_a 5.202
_cell_length_b 6.572
_cell_length_c 10.273
_cell_angle_alpha 90.00
_cell_angle_beta 90.00
_cell_angle_gamma 90.00
_symmetry_space_group_name_H-M 'P 21 21 21'
_symmetry_Int_Tables_number 19
_symmetry_space_group_name_Hall 'P 2ac 2ab'
loop_
_atom_site_label
_atom_site_type_symbol
_atom_site_fract_x
_atom_site_fract_y
_atom_site_fract_z
Nb1 Nb 0.124 0.041 0.309
Nb2 Nb 0.202 0.499 0.892
Te1 Te 0.128 0.665 0.642
Te2 Te 0.196 0.848 0.067
# **D(E_F)**: 15.67 states/eV/cell
# **Calculated volume**: 351.2 Å³ per cell
# **DFT total energy**: -0.49000 Ry per atom
# **Raw formation energy**: -12 kJ/mol of formula units



# 8
# PBE NbTe, relaxed
data_NbTe
_cell_length_a 3.636
_cell_length_b 12.356
_cell_length_c 6.553
_cell_angle_alpha 90.00
_cell_angle_beta 90.00
_cell_angle_gamma 90.00
_symmetry_space_group_name_H-M 'A m m 2'
_symmetry_Int_Tables_number 38
_symmetry_space_group_name_Hall 'A 2 -2'
loop_
_atom_site_label
_atom_site_type_symbol
_atom_site_fract_x
_atom_site_fract_y
_atom_site_fract_z
Nb1 Nb 0.000 0.000 0.000
Nb2 Nb 0.500 0.182 0.042
Te1 Te 0.000 0.165 0.708
Te2 Te 0.500 0.000 0.318
# **D(E_F)**: 6.41 states/eV/cell
# **Calculated volume**: 294.4 Å³ per cell
# **DFT total energy**: -0.50227 Ry per atom
# **Raw formation energy**: -44 kJ/mol of formula units